Material: Al2MoAuN
Method: DFT, PBEsol
State: relaxed

Cell lengths 4.611, 4.611, 5.312 Å; angles 90.00, 90.00, 90.00 degrees
Site moments in Bohr magnetons follow the coordinates.
Atoms (fractional coordinates):
Al 0.500 0.000 0.000  0.00
Mo 0.000 0.000 0.500  3.32
N 0.500 0.500 0.500  -1.11
Au 0.000 0.000 0.000  0.06
Al 0.000 0.500 0.000  0.00

* raw total energy: -23.2 eV per cell
* calculated volume: 113.0 Å³/cell
* total magnetic moment: 0.485 μB per atom
* Fermi-level density of states: 2.77 states/eV/cell